CoGe2Au | OQMD via LeMat-Bulk | PBE | optimized geometry; total DFT energy (no corrections) = -4.51 eV per atom
1.0
0.0000 3.1713 3.1713
3.1713 0.0000 3.1713
3.1713 3.1713 0.0000
Au Co Ge
1 1 2
direct
0.5000 0.5000 0.5000
0.2500 0.2500 0.2500
0.0000 0.0000 0.0000
0.7500 0.7500 0.7500